{
  "formula": "MgBiOF2",
  "functional": "GGA-PBE",
  "state": "relaxed",
  "lattice_angstrom": [[3.916, 0.000, 0.000], [0.000, 3.916, 0.000], [0.000, 0.000, 4.303]],
  "species": ["Mg", "Bi", "O", "F", "F"],
  "fractional_positions": [[0.000, 0.000, 0.000], [0.500, 0.500, 0.500], [0.000, 0.000, 0.500], [0.000, 0.500, 0.000], [0.500, 0.000, 0.000]],
  "spacegroup": "P4/mmm, No. 123",
  "dos_at_fermi_per_ev_cell": 1.9,
  "polymorph_energy_ev_per_atom": 0.000,
  "dft_energy_ev_per_atom": -4.9375
}

{
  "formula": "YV2Ga2",
  "functional": "GGA-PBE",
  "state": "relaxed",
  "lattice_angstrom": [[-1.913, 1.913, 6.049], [1.913, -1.913, 6.049], [1.913, 1.913, -6.049]],
  "species": ["Y", "V", "V", "Ga", "Ga"],
  "fractional_positions": [[0.000, 0.000, 0.000], [0.250, 0.750, 0.500], [0.750, 0.250, 0.500], [0.394, 0.394, 0.000], [0.606, 0.606, 0.000]],
  "spacegroup": "I4/mmm, No. 139",
  "dos_at_fermi_per_ev_cell": 5.7,
  "e_form_ev_per_atom": -0.2864,
  "polymorph_energy_ev_per_atom": 0.000,
  "dft_energy_ev_per_atom": -6.4374
}

{
  "formula": "KTc2Ru",
  "functional": "GGA-PBE",
  "state": "relaxed",
  "lattice_angstrom": [[1.444, -2.304, 0.000], [1.444, 2.304, 0.000], [0.000, 0.000, 10.462]],
  "species": ["K", "Tc", "Tc", "Ru"],
  "fractional_positions": [[0.000, 0.000, 0.000], [0.500, 0.500, 0.290], [0.500, 0.500, 0.710], [0.000, 0.000, 0.500]],
  "spacegroup": "Cmmm, No. 65",
  "dos_at_fermi_per_ev_cell": 4.6,
  "e_form_ev_per_atom": 0.8879,
  "polymorph_energy_ev_per_atom": 0.139,
  "dft_energy_ev_per_atom": -6.8884
}

{
  "formula": "RbMn2PdI8",
  "functional": "GGA-PBE",
  "state": "relaxed",
  "lattice_angstrom": [[3.592, 2.074, 10.963], [-3.592, 2.074, 10.963], [0.000, -4.148, 10.963]],
  "species": ["Rb", "Mn", "Mn", "Pd", "I", "I", "I", "I", "I", "I", "I", "I"],
  "fractional_positions": [[0.000, 0.000, 0.000], [0.240, 0.240, 0.240], [0.760, 0.760, 0.760], [0.500, 0.500, 0.500], [0.144, 0.432, 0.772], [0.228, 0.856, 0.568], [0.320, 0.320, 0.320], [0.432, 0.772, 0.144], [0.568, 0.228, 0.856], [0.680, 0.680, 0.680], [0.772, 0.144, 0.432], [0.856, 0.568, 0.228]],
  "spacegroup": "R-3, No. 148",
  "dos_at_fermi_per_ev_cell": 10.8,
  "dft_energy_ev_per_atom": -3.5347
}

{
  "formula": "La2SmGa",
  "functional": "GGA-PBE",
  "state": "relaxed",
  "lattice_angstrom": [[3.772, 0.000, 0.000], [0.000, 3.772, 0.000], [0.000, 0.000, 8.836]],
  "species": ["La", "La", "Sm", "Ga"],
  "fractional_positions": [[0.000, 0.000, 0.206], [0.000, 0.000, 0.794], [0.500, 0.500, 0.500], [0.500, 0.500, 0.000]],
  "spacegroup": "P4/mmm, No. 123",
  "dos_at_fermi_per_ev_cell": 4.6,
  "e_form_ev_per_atom": -0.2471,
  "polymorph_energy_ev_per_atom": 0.017,
  "dft_energy_ev_per_atom": -4.6473
}

{
  "formula": "TcSnRh2",
  "functional": "GGA-PBE",
  "state": "relaxed",
  "lattice_angstrom": [[-2.771, 2.771, 6.073], [2.771, -2.771, 6.073], [2.771, 2.771, -6.073]],
  "species": ["Tc", "Tc", "Sn", "Sn", "Rh", "Rh", "Rh", "Rh"],
  "fractional_positions": [[0.000, 0.000, 0.000], [0.750, 0.250, 0.500], [0.250, 0.750, 0.500], [0.500, 0.500, 0.000], [0.089, 0.625, 0.964], [0.375, 0.339, 0.464], [0.661, 0.125, 0.036], [0.875, 0.911, 0.536]],
  "spacegroup": "I-42d, No. 122",
  "dos_at_fermi_per_ev_cell": 6.2,
  "e_form_ev_per_atom": 0.6610,
  "dft_energy_ev_per_atom": -6.6069
}